1.
{"formula": "Tm6Al7Cu16", "functional": "PBE-GGA", "state": "optimized geometry", "lattice_angstrom": [[-6.1045, 6.1045, 0.0000], [6.1045, 0.0000, -6.1045], [-6.1045, -6.1045, 0.0000]], "species": ["Al", "Al", "Al", "Al", "Al", "Al", "Al", "Cu", "Cu", "Cu", "Cu", "Cu", "Cu", "Cu", "Cu", "Cu", "Cu", "Cu", "Cu", "Cu", "Cu", "Cu", "Cu", "Tm", "Tm", "Tm", "Tm", "Tm", "Tm"], "fractional_positions": [[0.0000, 0.0000, 0.0000], [0.5000, 0.0000, 0.0000], [0.0000, 0.5000, 0.0000], [0.5000, 0.5000, 0.0000], [0.0000, 0.0000, 0.5000], [0.0000, 0.5000, 0.5000], [0.5000, 0.5000, 0.5000], [0.6722, 0.3445, 0.0167], [0.3635, 0.2423, 0.1212], [0.8788, 0.2423, 0.1212], [0.8788, 0.7577, 0.1212], [0.6722, 0.3445, 0.3278], [0.6722, 0.6555, 0.3278], [0.9833, 0.6555, 0.3278], [0.1212, 0.2423, 0.3635], [0.8788, 0.7577, 0.6365], [0.0167, 0.3445, 0.6722], [0.3278, 0.3445, 0.6722], [0.3278, 0.6555, 0.6722], [0.1212, 0.2423, 0.8788], [0.1212, 0.7577, 0.8788], [0.6365, 0.7577, 0.8788], [0.3278, 0.6555, 0.9833], [0.2896, 0.0000, 0.2896], [0.2896, 0.5792, 0.2896], [0.7104, 0.0000, 0.2896], [0.7104, 0.0000, 0.7104], [0.2896, 0.0000, 0.7104], [0.7104, 0.4208, 0.7104]], "total_magnetization_mub_per_fu": 0.016, "e_tot_ev_per_atom": -4.2653, "crystal_system": "cubic", "vol_a3_per_atom": 15.7, "mass_density_g_cm3": 8.10}

2.
{"formula": "LuCoBIr", "functional": "PBE-GGA", "state": "optimized geometry", "lattice_angstrom": [[2.2225, -3.0961, -1.8684], [-1.9811, -3.4753, -1.4191], [-0.3859, -0.6677, -4.1739]], "species": ["B", "Co", "Ir", "Lu"], "fractional_positions": [[0.0000, 0.0000, 0.0000], [0.7500, 0.7500, 0.7500], [0.2500, 0.2500, 0.2500], [0.5000, 0.5000, 0.5000]], "total_magnetization_mub_per_fu": 0.004, "e_tot_ev_per_atom": -6.6262, "crystal_system": "cubic", "vol_a3_per_atom": 13.5, "relative_energy_kj_per_mol_atoms": 0.00, "mass_density_g_cm3": 13.42}

3.
{"formula": "TlFeNiPt", "functional": "PBE-GGA", "state": "optimized geometry", "lattice_angstrom": [[0.0000, 3.1169, 3.1169], [3.1169, 0.0000, 3.1169], [3.1169, 3.1169, 0.0000]], "species": ["Fe", "Ni", "Pt", "Tl"], "fractional_positions": [[0.7500, 0.7500, 0.7500], [0.2500, 0.2500, 0.2500], [0.5000, 0.5000, 0.5000], [0.0000, 0.0000, 0.0000]], "total_magnetization_mub_per_fu": 2.859, "e_tot_ev_per_atom": -5.4077, "crystal_system": "cubic", "vol_a3_per_atom": 15.1, "relative_energy_kj_per_mol_atoms": 0.00, "mass_density_g_cm3": 14.09}